LiCuP4Ru2O14 | PBE | optimized geometry

Properties
- ΔE to the lowest computed polymorph: 0.000 eV per atom
- Uncorrected formation energy: -162.1 kJ per mole of atoms
- DOS(E_F): 8.52 states/eV/f.u.

a = 4.9078 Å, b = 6.8192 Å, c = 8.3865 Å
α = 92.68°, β = 91.62°, γ = 107.90°
With the nearest neighbours (Å) after each atom.
Fractional positions:
O1 0.8498 0.1654 0.8361  1 P 1.51
O2 0.7226 0.4332 0.6837  1 P 1.51
O3 0.1408 0.8324 0.1615  1 P 1.51
O4 0.7943 0.1007 0.1788  1 P 1.52
O5 0.1968 0.9006 0.8182  1 P 1.53
O6 0.1243 0.2877 0.5854  1 P 1.58
O7 0.1925 0.5228 0.8402  2 P 1.62-1.65
O8 0.4811 0.7582 0.6305  1 P 1.53
O9 0.2796 0.5682 0.3069  1 P 1.53
O10 0.5125 0.2375 0.3719  1 P 1.53
O11 0.3697 0.2261 0.0689  1 P 1.55
O12 0.7927 0.4802 0.1670  2 P 1.62-1.66
O13 0.8835 0.7139 0.4207  1 P 1.56
O14 0.6153 0.7785 0.9368  1 P 1.55
P1 0.9583 0.3437 0.7300  4 O 1.51-1.62
P2 0.0361 0.6585 0.2720  4 O 1.51-1.62
P3 0.6053 0.2388 0.1990  4 O 1.52-1.66
P4 0.3844 0.7594 0.8022  4 O 1.53-1.65
Li1 0.4314 0.5326 0.0609  4 O 2.00-2.15
Cu1 0.0096 0.9992 0.5084  2 O 1.95
Ru1 0.4986 0.4989 0.5003  6 O 2.01-2.15
Ru2 0.9958 0.0006 0.9988  6 O 2.03-2.07